DFT (PBE-GGA) results for a relaxed structure of Ba6TlPd2.

a b c (Å): 9.9122 9.9122 9.9122
angles (deg): 105.11 109.32 114.11
Atoms (fractional coordinates):
Tl  0.0000  0.5000  0.5000
Tl  0.0000  0.0000  0.0000
Pd  0.5000  0.6193  0.1193
Pd  0.5000  0.3807  0.8807
Pd  0.3212  0.0000  0.3212
Pd  0.6788  0.0000  0.6788
Ba  0.1925  0.7588  0.9514
Ba  0.8075  0.2412  0.0486
Ba  0.8075  0.7588  0.5663
Ba  0.3177  0.6538  0.3361
Ba  0.8895  0.7145  0.1749
Ba  0.3177  0.9816  0.6639
Ba  0.6823  0.3462  0.6639
Ba  0.1105  0.2855  0.8251
Ba  0.1925  0.2412  0.4337
Ba  0.4604  0.2855  0.1749
Ba  0.5396  0.7145  0.8251
Ba  0.6823  0.0184  0.3361

Output
E   -3.06 eV per atom
D(E_F)   17.4 states/eV/cell


DFT (PBE-GGA) results for a relaxed structure of LiCeSmTe3.

a b c (Å): 4.3234 9.1220 9.6169
angles (deg): 103.57 90.00 90.00
Atoms (fractional coordinates):
Sm  0.2500  0.6676  0.1572
Sm  0.7500  0.3324  0.8428
Te  0.2500  0.5709  0.8200
Te  0.2500  0.7731  0.5003
Te  0.7500  0.4291  0.1800
Te  0.7500  0.9099  0.1277
Te  0.2500  0.0901  0.8723
Te  0.7500  0.2269  0.4997
Ce  0.2500  0.1854  0.2294
Ce  0.7500  0.8146  0.7706
Li  0.2500  0.0859  0.5857
Li  0.7500  0.9141  0.4143

Output
D(E_F)   17.3 states/eV/cell
E_form (uncorrected)   -1.280 eV per atom


DFT (PBE-GGA) results for a relaxed structure of SmHo6Tm6.

a b c (Å): 6.5286 6.5286 10.8880
angles (deg): 90.00 90.00 115.46
Atoms (fractional coordinates):
Sm  0.0000  0.0000  0.0000
Ho  0.0000  0.0000  0.6651
Ho  0.0000  0.0000  0.3349
Ho  0.7367  0.2633  0.5000
Ho  0.6439  0.3561  0.0000
Ho  0.2633  0.7367  0.5000
Ho  0.3561  0.6439  0.0000
Tm  0.5000  0.5000  0.3009
Tm  0.5000  0.0000  0.2264
Tm  0.0000  0.5000  0.7736
Tm  0.0000  0.5000  0.2264
Tm  0.5000  0.5000  0.6991
Tm  0.5000  0.0000  0.7736

Output
E   -4.32 eV per atom
D(E_F)   19.0 states/eV/cell